VASP calculation (PBE-GGA) on BTe2Rh after structural relaxation.

Results
Energy relative to the elements, uncorrected, meV per atom: 758.9

```
data_BTe2Rh
_chemical_formula_sum 'B3 Te6 Rh3'
_cell_length_a 3.4175
_cell_length_b 3.4175
_cell_length_c 23.8251
_cell_angle_alpha 90.00
_cell_angle_beta 90.00
_cell_angle_gamma 120.00
_space_group_name_H-M_alt 'R -3 m'
_space_group_IT_number 166
_space_group_name_Hall '-R 3 2"'
loop_
_atom_site_label
_atom_site_type_symbol
_atom_site_fract_x
_atom_site_fract_y
_atom_site_fract_z
_atom_site_occupancy
B1 B 0.0000 0.0000 0.0000 1
Te1 Te 0.0000 0.0000 0.3947 1
Rh1 Rh 0.0000 0.0000 0.5000 1
```

VASP calculation (PBE-GGA) on La2GaPd after structural relaxation.

Results
Energy of formation, eV per atom: -0.36

```
data_La2GaPd
_chemical_formula_sum 'La8 Ga4 Pd4'
_cell_length_a 8.1716
_cell_length_b 8.1716
_cell_length_c 6.6884
_cell_angle_alpha 90.00
_cell_angle_beta 90.00
_cell_angle_gamma 90.00
_space_group_name_H-M_alt 'I -4 2 d'
_space_group_IT_number 122
_space_group_name_Hall 'I -4 2bw'
loop_
_atom_site_label
_atom_site_type_symbol
_atom_site_fract_x
_atom_site_fract_y
_atom_site_fract_z
_atom_site_occupancy
La1 La 0.2168 0.2500 0.1250 1
Ga1 Ga 0.0000 0.0000 0.5000 1
Pd1 Pd 0.0000 0.0000 0.0000 1
```

VASP calculation (PBE-GGA) on K2TlAu after structural relaxation.

Results
Energy of formation, eV per atom: -0.13

```
data_K2TlAu
_chemical_formula_sum 'K2 Tl1 Au1'
_cell_length_a 4.0196
_cell_length_b 4.0196
_cell_length_c 9.5830
_cell_angle_alpha 90.00
_cell_angle_beta 90.00
_cell_angle_gamma 90.00
_space_group_name_H-M_alt 'P 4 m m'
_space_group_IT_number 99
loop_
_space_group_symop_operation_xyz
'x,y,z'
'-y,x,z'
'-x,-y,z'
'y,-x,z'
'-x,y,z'
'y,x,z'
'x,-y,z'
'-y,-x,z'
loop_
_atom_site_label
_atom_site_type_symbol
_atom_site_fract_x
_atom_site_fract_y
_atom_site_fract_z
_atom_site_occupancy
K1 K 0.0000 0.0000 0.0000 1
K2 K 0.5000 0.5000 0.4023 1
Tl1 Tl 0.0000 0.0000 0.6482 1
Au1 Au 0.5000 0.5000 0.7631 1
```

VASP calculation (PBE-GGA) on Nd2Y5Ho12 after structural relaxation.

Results
Excess energy over the best structure of this formula in the dataset, eV per formula unit: 2.02
Energy of formation, eV per atom: 0.13

```
data_Nd2Y5Ho12
_chemical_formula_sum 'Nd4 Y10 Ho24'
_cell_length_a 15.8535
_cell_length_b 9.1761
_cell_length_c 8.5204
_cell_angle_alpha 90.00
_cell_angle_beta 91.27
_cell_angle_gamma 90.00
_space_group_name_H-M_alt 'C 1 2/m 1'
_space_group_IT_number 12
loop_
_space_group_symop_operation_xyz
'x,y,z'
'-x,-y,-z'
'-x,y,-z'
'x,-y,z'
'x+1/2,y+1/2,z'
'-x+1/2,-y+1/2,-z'
'-x+1/2,y+1/2,-z'
'x+1/2,-y+1/2,z'
loop_
_atom_site_label
_atom_site_type_symbol
_atom_site_fract_x
_atom_site_fract_y
_atom_site_fract_z
_atom_site_occupancy
Nd1 Nd 0.0000 0.1845 0.0000 1
Y1 Y 0.0000 0.5000 0.5000 1
Y2 Y 0.1983 0.0000 0.0083 1
Y3 Y 0.2332 0.5000 0.5761 1
Ho1 Ho 0.0563 0.0000 0.3310 1
Ho2 Ho 0.0932 0.5000 0.8842 1
Ho3 Ho 0.1265 0.1920 0.6542 1
Ho4 Ho 0.1559 0.3188 0.2458 1
```